A | Compound: La2TbRu
Source: Alexandria via LeMat-Bulk
Functional: PBE-GGA
Structure: relaxed

Results
Density of states at the Fermi level, states/eV/atom: 1.035
Space group: No. 62

Cell lengths 6.402, 7.382, 9.938 Å; angles 90.00, 90.00, 90.00 degrees
Element x y z (fractional)
La  0.171  0.674  0.068
La  0.329  0.174  0.432
La  0.829  0.326  0.568
La  0.671  0.826  0.932
La  0.829  0.326  0.932
La  0.671  0.826  0.568
La  0.171  0.674  0.432
La  0.329  0.174  0.068
Tb  0.652  0.545  0.250
Tb  0.848  0.045  0.250
Tb  0.348  0.455  0.750
Tb  0.152  0.955  0.750
Ru  0.058  0.386  0.250
Ru  0.442  0.886  0.250
Ru  0.942  0.614  0.750
Ru  0.558  0.114  0.750



B | Compound: La2TbRu
Source: Alexandria via LeMat-Bulk
Functional: PBE-GGA
Structure: relaxed

Results
Density of states at the Fermi level, states/eV/atom: 1.332
Space group: No. 166

Cell lengths 3.840, 3.840, 10.681 Å; angles 79.65, 79.65, 60.00 degrees
Element x y z (fractional)
Ru  0.500  0.500  0.500
Tb  0.000  0.000  0.000
La  0.112  0.112  0.664
La  0.888  0.888  0.336



C | Compound: La2TbRu
Source: Alexandria via LeMat-Bulk
Functional: PBE-GGA
Structure: relaxed

Results
Density of states at the Fermi level, states/eV/atom: 1.030
Space group: No. 63

Cell lengths 4.036, 6.439, 9.582 Å; angles 90.00, 90.00, 108.27 degrees
Element x y z (fractional)
La  0.360  0.720  0.571
La  0.640  0.280  0.429
La  0.360  0.720  0.929
La  0.640  0.280  0.071
Tb  0.914  0.829  0.250
Tb  0.086  0.171  0.750
Ru  0.748  0.495  0.750
Ru  0.252  0.505  0.250



Stability check: which of them is least stable? B.



A | Compound: LaTbRu
Source: Alexandria via LeMat-Bulk
Functional: PBE-GGA
Structure: relaxed

Results
Density of states at the Fermi level, states/eV/atom: 0.374
Space group: No. 156

Cell lengths 6.235, 4.112, 4.112 Å; angles 120.00, 90.00, 90.00 degrees
Element x y z (fractional)
Ru  0.998  0.000  0.000
Tb  0.767  0.667  0.333
La  0.235  0.333  0.667



B | Compound: LaTbRu
Source: Alexandria via LeMat-Bulk
Functional: PBE-GGA
Structure: relaxed

Results
Density of states at the Fermi level, states/eV/atom: 0.572
Space group: No. 216

Cell lengths 4.892, 4.892, 4.892 Å; angles 60.00, 60.00, 60.00 degrees
Element x y z (fractional)
Ru  0.250  0.250  0.250
Tb  0.000  0.000  0.000
La  0.500  0.500  0.500



Stability check: which of them is least stable? A.



A | Compound: LaTb2Ru
Source: Alexandria via LeMat-Bulk
Functional: PBE-GGA
Structure: relaxed

Results
Density of states at the Fermi level, states/eV/atom: 0.932
Space group: No. 11

Cell lengths 3.920, 6.447, 9.438 Å; angles 90.00, 90.00, 107.74 degrees
Element x y z (fractional)
La  0.420  0.842  0.250
La  0.580  0.158  0.750
Tb  0.146  0.293  0.428
Tb  0.854  0.707  0.572
Tb  0.854  0.707  0.928
Tb  0.146  0.293  0.072
Ru  0.758  0.516  0.250
Ru  0.242  0.484  0.750



B | Compound: LaTb2Ru
Source: Alexandria via LeMat-Bulk
Functional: PBE-GGA
Structure: relaxed

Results
Density of states at the Fermi level, states/eV/atom: 1.506
Space group: No. 166

Cell lengths 3.564, 3.564, 10.963 Å; angles 80.65, 80.65, 60.00 degrees
Element x y z (fractional)
Ru  0.500  0.500  0.500
Tb  0.109  0.109  0.673
Tb  0.891  0.891  0.327
La  0.000  0.000  0.000



C | Compound: LaTb2Ru
Source: Alexandria via LeMat-Bulk
Functional: PBE-GGA
Structure: relaxed

Results
Density of states at the Fermi level, states/eV/atom: 0.844
Space group: No. 123

Cell lengths 3.460, 3.460, 9.303 Å; angles 90.00, 90.00, 90.00 degrees
Element x y z (fractional)
Ru  0.500  0.500  0.000
Tb  0.000  0.000  0.823
Tb  0.000  0.000  0.177
La  0.500  0.500  0.500



Stability check: which of them is least stable? B.



A | Compound: LaTc2Ru2
Source: Alexandria via LeMat-Bulk
Functional: PBE-GGA
Structure: relaxed

Results
Density of states at the Fermi level, states/eV/atom: 1.076
Space group: No. 127

Cell lengths 7.825, 7.825, 2.803 Å; angles 90.00, 90.00, 90.00 degrees
Element x y z (fractional)
Ru  0.380  0.880  0.000
Ru  0.880  0.620  0.000
Ru  0.620  0.120  0.000
Ru  0.120  0.380  0.000
Tc  0.168  0.668  0.500
Tc  0.668  0.832  0.500
Tc  0.832  0.332  0.500
Tc  0.332  0.168  0.500
La  0.000  0.000  0.000
La  0.500  0.500  0.000



B | Compound: LaTc2Ru2
Source: Alexandria via LeMat-Bulk
Functional: PBE-GGA
Structure: relaxed

Results
Density of states at the Fermi level, states/eV/atom: 0.959
Space group: No. 127

Cell lengths 7.822, 7.822, 2.814 Å; angles 90.00, 90.00, 90.00 degrees
Element x y z (fractional)
Ru  0.169  0.669  0.500
Ru  0.669  0.831  0.500
Ru  0.831  0.331  0.500
Ru  0.331  0.169  0.500
Tc  0.384  0.884  0.000
Tc  0.884  0.616  0.000
Tc  0.616  0.116  0.000
Tc  0.116  0.384  0.000
La  0.000  0.000  0.000
La  0.500  0.500  0.000



Stability check: which of them is least stable? A.



A | Compound: LaTcRu3
Source: Alexandria via LeMat-Bulk
Functional: PBE-GGA
Structure: relaxed

Results
Density of states at the Fermi level, states/eV/atom: 0.974
Space group: No. 221

Cell lengths 4.706, 4.706, 4.706 Å; angles 90.00, 90.00, 90.00 degrees
Element x y z (fractional)
Ru  0.000  0.500  0.000
Ru  0.000  0.000  0.500
Ru  0.500  0.000  0.000
Tc  0.000  0.000  0.000
La  0.500  0.500  0.500



B | Compound: LaTcRu3
Source: Alexandria via LeMat-Bulk
Functional: PBE-GGA
Structure: relaxed

Results
Density of states at the Fermi level, states/eV/atom: 2.119
Space group: No. 221

Cell lengths 4.730, 4.730, 4.730 Å; angles 90.00, 90.00, 90.00 degrees
Element x y z (fractional)
Ru  0.000  0.500  0.000
Ru  0.000  0.000  0.500
Ru  0.500  0.000  0.000
Tc  0.500  0.500  0.500
La  0.000  0.000  0.000



Stability check: which of them is least stable? B.



A | Compound: LaTeRu3
Source: Alexandria via LeMat-Bulk
Functional: PBE-GGA
Structure: relaxed

Results
Density of states at the Fermi level, states/eV/atom: 1.084
Space group: No. 221

Cell lengths 4.844, 4.844, 4.844 Å; angles 90.00, 90.00, 90.00 degrees
Element x y z (fractional)
Ru  0.000  0.500  0.000
Ru  0.000  0.000  0.500
Ru  0.500  0.000  0.000
Te  0.000  0.000  0.000
La  0.500  0.500  0.500



B | Compound: LaTeRu3
Source: Alexandria via LeMat-Bulk
Functional: PBE-GGA
Structure: relaxed

Results
Density of states at the Fermi level, states/eV/atom: 1.095
Space group: No. 221

Cell lengths 4.869, 4.869, 4.869 Å; angles 90.00, 90.00, 90.00 degrees
Element x y z (fractional)
Ru  0.000  0.500  0.000
Ru  0.000  0.000  0.500
Ru  0.500  0.000  0.000
Te  0.500  0.500  0.500
La  0.000  0.000  0.000



Stability check: which of them is least stable? B.